Computed, not measured: a relaxed structure of Ba3YRu2O9 at the PBE level of DFT.

D(E_F) = 6.887 states/eV per cell
raw formation energy = -2184 meV per atom
total magnetic moment = 4.997 μB per formula unit
SG = P-3m1, No. 164

Cell: 5.8891 5.8891 7.2539 Å, 90.00 90.00 120.00°
Fractional positions:
O1 0.3527 0.1764 0.6816
O2 0.6473 0.8236 0.3184
O3 0.0000 0.5000 0.0000
Ba1 0.6667 0.3333 0.3224
O4 0.8236 0.1764 0.6816
O5 0.5000 0.0000 0.0000
Ba2 0.0000 0.0000 0.0000
O6 0.8236 0.6473 0.6816
Ru1 0.3333 0.6667 0.1621
O7 0.1764 0.3527 0.3184
Ru2 0.6667 0.3333 0.8379
O8 0.1764 0.8236 0.3184
O9 0.5000 0.5000 0.0000
Y1 0.0000 0.0000 0.5000
Ba3 0.3333 0.6667 0.6776